This record from OQMD via LeMat-Bulk describes crystalline FeSiWAu at its relaxed geometry. The functional is PBE.

Cell and atoms, written as POSCAR:
```
FeSiWAu
1.0
0.000 3.075 3.075
3.075 0.000 3.075
3.075 3.075 0.000
Fe Si W Au
1 1 1 1
direct
0.000 0.000 0.000
0.750 0.750 0.750
0.500 0.500 0.500
0.250 0.250 0.250
```

Values from the calculation:
ΔE to the lowest computed polymorph: 0.000 eV per atom
Spin magnetization: 1.66 μB per cell


This record from OQMD via LeMat-Bulk describes crystalline Nd2Y2IBr4N at its relaxed geometry. The functional is PBE.

Cell and atoms, written as POSCAR:
```
Nd2Y2IBr4N
1.0
8.910 -1.929 0.000
8.910 1.929 0.000
-2.056 0.000 8.221
Nd Y I Br N
2 2 1 4 1
direct
0.141 0.141 0.073
0.859 0.859 0.927
0.499 0.499 0.189
0.501 0.501 0.811
0.000 0.000 0.500
0.333 0.333 0.179
0.338 0.338 0.656
0.662 0.662 0.344
0.667 0.667 0.821
0.000 0.000 0.000
```

Values from the calculation:
Electronic total energy: -5.44 eV per atom
Spin magnetization: 0.00 μB per cell


This record from OQMD via LeMat-Bulk describes crystalline SiAg2HgTeS3 at its relaxed geometry. The functional is PBE.

Cell and atoms, written as POSCAR:
```
SiAg2HgTeS3
1.0
4.176 -4.084 0.000
4.176 4.084 0.000
-4.088 0.000 5.895
Si Ag Hg Te S
1 2 1 1 3
direct
0.000 0.000 0.000
0.260 0.826 0.549
0.826 0.260 0.549
0.541 0.541 0.050
0.371 0.371 0.288
0.126 0.694 0.793
0.694 0.126 0.793
0.913 0.913 0.232
```

Values from the calculation:
Electronic total energy: -3.62 eV per atom


This record from OQMD via LeMat-Bulk describes crystalline Cs3HgI5 at its relaxed geometry. The functional is PBE.

Cell and atoms, written as POSCAR:
```
Cs3HgI5
1.0
10.365 0.000 0.000
0.000 19.232 0.000
0.000 0.000 18.819
Cs Hg I
24 8 40
direct
0.074 0.189 0.143
0.074 0.311 0.643
0.083 0.571 0.683
0.083 0.929 0.183
0.091 0.103 0.404
0.091 0.397 0.904
0.409 0.603 0.404
0.409 0.897 0.904
0.417 0.071 0.683
0.417 0.429 0.183
0.426 0.689 0.143
0.426 0.811 0.643
0.574 0.189 0.357
0.574 0.311 0.857
0.583 0.571 0.817
0.583 0.929 0.317
0.591 0.103 0.096
0.591 0.397 0.596
0.909 0.603 0.096
0.909 0.897 0.596
0.917 0.071 0.817
0.917 0.429 0.317
0.926 0.689 0.357
0.926 0.811 0.857
0.191 0.655 0.933
0.191 0.845 0.433
0.309 0.155 0.933
0.309 0.345 0.433
0.691 0.655 0.567
0.691 0.845 0.067
0.809 0.155 0.567
0.809 0.345 0.067
0.047 0.094 0.614
0.047 0.406 0.114
0.136 0.732 0.528
0.136 0.768 0.028
0.161 0.048 0.994
0.161 0.452 0.494
0.168 0.572 0.251
0.168 0.928 0.751
0.201 0.212 0.806
0.201 0.288 0.306
0.299 0.712 0.806
0.299 0.788 0.306
0.332 0.072 0.251
0.332 0.428 0.751
0.339 0.548 0.994
0.339 0.952 0.494
0.364 0.232 0.528
0.364 0.268 0.028
0.453 0.594 0.614
0.453 0.906 0.114
0.547 0.094 0.886
0.547 0.406 0.386
0.636 0.732 0.972
0.636 0.768 0.472
0.661 0.048 0.506
0.661 0.452 0.006
0.668 0.572 0.249
0.668 0.928 0.749
0.701 0.212 0.694
0.701 0.288 0.194
0.799 0.712 0.694
0.799 0.788 0.194
0.832 0.072 0.249
0.832 0.428 0.749
0.839 0.548 0.506
0.839 0.952 0.006
0.864 0.232 0.972
0.864 0.268 0.472
0.953 0.594 0.886
0.953 0.906 0.386
```

Values from the calculation:
Electronic total energy: -2.34 eV per atom


This record from OQMD via LeMat-Bulk describes crystalline ReICl4 at its relaxed geometry. The functional is PBE.

Cell and atoms, written as POSCAR:
```
ReICl4
1.0
6.303 0.000 0.000
-2.992 6.126 0.000
-0.312 -3.344 8.724
Re I Cl
2 2 8
direct
0.098 0.201 0.206
0.902 0.799 0.794
0.084 0.813 0.550
0.916 0.187 0.450
0.114 0.630 0.861
0.236 0.180 0.956
0.299 0.003 0.240
0.428 0.554 0.325
0.572 0.446 0.675
0.701 0.997 0.760
0.764 0.820 0.044
0.886 0.370 0.139
```

Values from the calculation:
Electronic total energy: -3.99 eV per atom
Spin magnetization: 3.98 μB per cell


This record from OQMD via LeMat-Bulk describes crystalline CdBiNO at its relaxed geometry. The functional is PBE.

Cell and atoms, written as POSCAR:
```
CdBiNO
1.0
5.001 0.000 0.000
0.000 5.001 0.000
0.000 0.000 4.817
Cd Bi N O
2 2 2 2
direct
0.250 0.250 0.004
0.750 0.750 0.996
0.250 0.750 0.500
0.750 0.250 0.500
0.250 0.250 0.502
0.750 0.750 0.498
0.250 0.750 0.000
0.750 0.250 0.000
```

Values from the calculation:
ΔE to the lowest computed polymorph: 0.076 eV per atom


Q: What is the formula in the first record?
A: FeSiWAu